Record 1
A relaxed RbNbNO crystal, computed with PBE-GGA.

abc: 6.317 8.428 5.991
angles: 90.00 90.00 90.00
Fractional positions:
N 0.013 0.282 0.034
N 0.513 0.718 0.034
N 0.487 0.282 0.534
N 0.987 0.718 0.534
Nb 0.397 0.082 0.491
Nb 0.897 0.918 0.491
Nb 0.103 0.082 0.991
Nb 0.603 0.918 0.991
O 0.397 0.071 0.148
O 0.897 0.929 0.148
O 0.103 0.071 0.648
O 0.603 0.929 0.648
Rb 0.552 0.367 0.029
Rb 0.052 0.633 0.029
Rb 0.948 0.367 0.529
Rb 0.448 0.633 0.529

## Properties
For the theoretical density, the calculation gives 4340 kg/m³. As for the energy above the most stable polymorph in this dataset: 2.90 kcal/mol of atoms.


Record 2
A relaxed RbNbNO crystal, computed with PBE-GGA.

abc: 3.682 6.290 6.836
angles: 90.00 90.00 90.00
Fractional positions:
N 0.000 0.755 0.495
N 0.000 0.255 0.505
Nb 0.000 0.501 0.336
Nb 0.000 0.001 0.664
O 0.500 0.497 0.214
O 0.500 0.997 0.786
Rb 0.500 0.001 0.200
Rb 0.500 0.501 0.800

## Properties
For the theoretical density, the calculation gives 4371 kg/m³. As for the energy above the most stable polymorph in this dataset: 0.00 kcal/mol of atoms.


Record 3
A relaxed NbReNO crystal, computed with PBE-GGA.

abc: 2.930 4.903 6.693
angles: 90.00 90.00 90.00
Fractional positions:
N 0.000 0.676 0.152
N 0.000 0.324 0.652
Nb 0.000 0.677 0.461
Nb 0.000 0.323 0.961
O 0.500 0.171 0.164
O 0.500 0.829 0.664
Re 0.500 0.182 0.469
Re 0.500 0.818 0.969

## Properties
For the theoretical density, the calculation gives 10674 kg/m³. As for the energy above the most stable polymorph in this dataset: 0.80 kcal/mol of atoms.